No. 1
Below is a relaxed TlOs2F11 crystal, with properties calculated at the PBE-GGA level.

## Properties
electronic total energy = -141.4 eV per cell
energy relative to the elements, uncorrected = -25.31 eV/f.u.
total magnetization = 12.00 Bohr magnetons per cell

Cell and atoms, written as POSCAR:
```
TlOs2F11
1.0
-9.616 -1.928 0.576
-4.837 -2.963 -6.890
-3.307 -8.222 1.055
Os F Tl
4 22 2
direct
0.154 0.857 0.143
0.346 0.357 0.643
0.654 0.643 0.357
0.846 0.143 0.857
0.375 0.344 0.418
0.875 0.918 0.844
0.440 0.862 0.376
0.678 0.624 0.138
0.705 0.271 0.729
0.363 0.844 0.918
0.205 0.229 0.771
0.500 0.500 0.500
0.178 0.638 0.124
0.625 0.656 0.582
0.560 0.138 0.624
0.637 0.156 0.082
0.822 0.362 0.876
0.125 0.082 0.156
0.137 0.582 0.656
0.060 0.124 0.638
0.295 0.729 0.271
0.322 0.376 0.862
0.795 0.771 0.229
0.940 0.876 0.362
0.863 0.418 0.344
0.000 0.000 0.000
0.750 0.750 0.750
0.250 0.250 0.250
```

---

No. 2
Below is a relaxed K2TaSe crystal, with properties calculated at the PBE-GGA level.

## Properties
electronic total energy = -32.0 eV per cell
Fermi-level density of states = 3.06 states/eV/cell
energy relative to the elements, uncorrected = 1.54 eV/f.u.
total magnetization = 6.00 Bohr magnetons per cell

Cell and atoms, written as POSCAR:
```
K2TaSe
1.0
12.434 0.000 0.000
0.000 12.434 0.000
6.217 6.217 2.483
K Se Ta
4 2 2
direct
0.375 0.547 0.750
0.297 0.625 0.250
0.453 0.125 0.250
0.875 0.703 0.750
0.250 0.750 0.500
0.500 0.500 0.000
0.750 0.250 0.500
0.000 0.000 0.000
```

---

No. 3
Below is a relaxed Dy6Cd2Cu crystal, with properties calculated at the PBE-GGA level.

## Properties
electronic total energy = -68.3 eV per cell
Fermi-level density of states = 23.73 states/eV/cell
E_form = -66.6 meV/atom
total magnetization = 0.00 Bohr magnetons per cell

Cell and atoms, written as POSCAR:
```
Dy6Cd2Cu
1.0
-2.507 5.046 2.734
-8.007 -1.649 -4.298
-3.188 -3.661 7.343
Dy Cd Cu
12 4 2
direct
0.602 0.188 0.554
0.102 0.312 0.054
0.398 0.812 0.446
0.606 0.175 0.971
0.883 0.966 0.210
0.117 0.034 0.790
0.394 0.825 0.029
0.383 0.534 0.710
0.894 0.675 0.529
0.617 0.466 0.290
0.898 0.688 0.946
0.106 0.325 0.471
0.363 0.098 0.276
0.637 0.902 0.724
0.863 0.402 0.776
0.137 0.598 0.224
0.000 0.000 0.500
0.500 0.500 0.000
```

---

No. 4
Below is a relaxed BeMoOsRu crystal, with properties calculated at the PBE-GGA level.

## Properties
electronic total energy = -35.3 eV per cell
Fermi-level density of states = 2.29 states/eV/cell
E_form = -60.3 meV/atom
total magnetization = 0.00 Bohr magnetons per cell

Cell and atoms, written as POSCAR:
```
BeMoOsRu
1.0
4.244 0.000 0.000
2.122 3.675 0.000
2.122 1.225 3.465
Mo Ru Be Os
1 1 1 1
direct
0.000 0.000 0.000
0.250 0.250 0.250
0.500 0.500 0.500
0.750 0.750 0.750
```

---

No. 5
Below is a relaxed TlSi2Mo crystal, with properties calculated at the PBE-GGA level.

## Properties
electronic total energy = -22.8 eV per cell
Fermi-level density of states = 2.08 states/eV/cell
energy relative to the elements, uncorrected = 1.21 eV/f.u.
total magnetization = 0.00 Bohr magnetons per cell

Cell and atoms, written as POSCAR:
```
TlSi2Mo
1.0
4.531 0.003 -0.008
3.389 3.007 -0.008
1.459 0.554 6.089
Si Tl Mo
2 1 1
direct
0.983 0.983 0.112
0.517 0.517 0.388
0.750 0.750 0.750
0.250 0.250 0.250
```

---

No. 6
Below is a relaxed RuI2Br crystal, with properties calculated at the PBE-GGA level.

## Properties
electronic total energy = -29.1 eV per cell
Fermi-level density of states = 10.37 states/eV/cell
energy relative to the elements, uncorrected = -0.52 eV/f.u.
total magnetization = 0.00 Bohr magnetons per cell

Cell and atoms, written as POSCAR:
```
RuI2Br
1.0
-5.739 1.537 -1.510
3.112 -5.311 -5.170
0.297 -3.782 7.087
I Br Ru
4 2 2
direct
0.672 0.951 0.279
0.435 0.446 0.295
0.935 0.795 0.946
0.172 0.779 0.451
0.721 0.322 0.977
0.221 0.477 0.822
0.190 0.625 0.125
0.690 0.625 0.125
```

---

Among the records above, which one has the highest electronic total energy?
TlSi2Mo